{"formula": "Pr6Sm3Er2", "functional": "PBE", "state": "optimized geometry", "volume_a3_per_cell": 396.40, "spacegroup": "No. 139", "total_energy_ev_per_atom": -4.4416, "e_form_ev_per_atom": 0.28, "lattice_angstrom": [[-2.404, 2.404, 17.145], [2.404, -2.404, 17.145], [2.404, 2.404, -17.145]], "species": ["Pr", "Pr", "Pr", "Pr", "Pr", "Pr", "Sm", "Sm", "Sm", "Er", "Er"], "fractional_positions": [[0.119, 0.619, 0.500], [0.205, 0.205, 0.000], [0.381, 0.881, 0.500], [0.619, 0.119, 0.500], [0.795, 0.795, 0.000], [0.881, 0.381, 0.500], [0.306, 0.306, 0.000], [0.500, 0.500, 0.000], [0.694, 0.694, 0.000], [0.045, 0.045, 0.000], [0.955, 0.955, 0.000]]}